Tl2ZnNi | GGA-PBE | relaxed

Results
ΔH_f (0 K) = 0.39 eV/atom
Electronic total energy = -2.557 eV/atom
Relative energy among the computed polymorphs = 256.6 meV/atom
Space group = I-4m2, No. 119

a b c (Å): 5.653 5.653 5.653
angles (deg): 137.59 137.59 61.53
Element x y z (fractional)
Tl 0.000 0.000 0.000
Tl 0.750 0.250 0.500
Zn 0.250 0.750 0.500
Ni 0.500 0.500 0.000